--- i ---
This record from Alexandria describes an optimized crystal structure of LiSiCl2. The functional is GGA-PBE.

abc: 5.693 5.693 5.693
angles: 142.88 92.11 99.54
Each line ends with the local moment (μB).
Positions (direct):
Li 0.750 0.250 0.500  0.00
Cl 0.516 0.516 0.000  0.02
Cl 0.984 0.984 0.000  0.02
Si 0.250 0.750 0.500  0.27

Values from the calculation:
Volume = 26.32 Å³ per atom
Space group = No. 71
Magnetic moment = 1.0 μB per formula unit



--- ii ---
This record from Alexandria describes an optimized crystal structure of LiSiCl2. The functional is GGA-PBE.

abc: 7.784 7.784 7.784
angles: 25.17 25.17 25.17
Positions (direct):
Li 0.250 0.250 0.250
Cl 0.516 0.516 0.516
Cl 0.984 0.984 0.984
Si 0.750 0.750 0.750

Values from the calculation:
Volume = 18.77 Å³ per atom
Space group = No. 166
Magnetic moment = 0.0 μB per formula unit



--- iii ---
This record from Alexandria describes an optimized crystal structure of LiSiCl2. The functional is GGA-PBE.

abc: 4.785 4.785 4.785
angles: 60.00 60.00 60.00
Positions (direct):
Cl 0.750 0.750 0.750
Cl 0.250 0.250 0.250
Li 0.000 0.000 0.000
Si 0.500 0.500 0.500

Values from the calculation:
Volume = 19.36 Å³ per atom
Space group = No. 225
Magnetic moment = 0.0 μB per formula unit



It is ii that is most stable; the runner-up trails by 0.087 eV/atom.



--- i ---
This record from Alexandria describes an optimized crystal structure of LiSmCl4. The functional is GGA-PBE.

abc: 6.343 7.635 7.641
angles: 118.39 90.00 90.00
Positions (direct):
Li 0.000 0.000 0.000
Li 0.500 0.500 0.000
Cl 0.218 0.318 0.162
Cl 0.270 0.345 0.673
Cl 0.282 0.818 0.162
Cl 0.230 0.845 0.673
Cl 0.782 0.682 0.838
Cl 0.730 0.655 0.327
Cl 0.770 0.155 0.327
Cl 0.718 0.182 0.838
Sm 0.000 0.500 0.500
Sm 0.500 0.000 0.500

Values from the calculation:
Volume = 27.13 Å³ per atom
Space group = No. 14
Magnetic moment = 0.0 μB per formula unit



--- ii ---
This record from Alexandria describes an optimized crystal structure of LiSmCl4. The functional is GGA-PBE.

abc: 7.433 7.433 7.433
angles: 71.62 71.62 111.68
Positions (direct):
Cl 0.387 0.323 0.437
Cl 0.823 0.886 0.937
Cl 0.823 0.260 0.563
Cl 0.177 0.740 0.437
Cl 0.177 0.113 0.063
Cl 0.760 0.323 0.063
Cl 0.240 0.677 0.937
Cl 0.613 0.677 0.563
Li 0.625 0.875 0.750
Li 0.375 0.125 0.250
Sm 0.875 0.625 0.250
Sm 0.125 0.375 0.750

Values from the calculation:
Volume = 26.32 Å³ per atom
Space group = No. 141
Magnetic moment = 0.0 μB per formula unit



It is ii that is most stable; the runner-up trails by 0.018 eV/atom.



--- i ---
This record from Alexandria describes an optimized crystal structure of LiSnCl3. The functional is GGA-PBE.

abc: 6.915 7.445 9.836
angles: 90.00 90.00 90.00
Positions (direct):
Cl 0.399 0.035 0.232
Cl 0.783 0.212 0.043
Cl 0.217 0.788 0.922
Cl 0.101 0.535 0.232
Cl 0.717 0.712 0.422
Cl 0.783 0.212 0.422
Cl 0.217 0.788 0.543
Cl 0.283 0.288 0.543
Cl 0.283 0.288 0.922
Cl 0.717 0.712 0.043
Cl 0.899 0.465 0.732
Cl 0.601 0.965 0.732
Sn 0.061 0.146 0.732
Sn 0.939 0.854 0.232
Sn 0.561 0.354 0.232
Sn 0.439 0.646 0.732
Li 0.000 0.500 0.982
Li 0.500 0.000 0.482
Li 0.500 0.000 0.982
Li 0.000 0.500 0.482

Values from the calculation:
Volume = 25.32 Å³ per atom
Space group = No. 62
Magnetic moment = 0.0 μB per formula unit



--- ii ---
This record from Alexandria describes an optimized crystal structure of LiSnCl3. The functional is GGA-PBE.

abc: 7.368 7.368 7.368
angles: 56.66 56.66 56.66
Positions (direct):
Cl 0.913 0.524 0.341
Cl 0.024 0.413 0.841
Cl 0.341 0.913 0.524
Cl 0.524 0.341 0.913
Cl 0.413 0.841 0.024
Cl 0.841 0.024 0.413
Li 0.193 0.193 0.193
Li 0.693 0.693 0.693
Sn 0.000 0.000 0.000
Sn 0.500 0.500 0.500

Values from the calculation:
Volume = 26.11 Å³ per atom
Space group = No. 161
Magnetic moment = 0.0 μB per formula unit



It is ii that is most stable; the runner-up trails by 0.010 eV/atom.



--- i ---
This record from Alexandria describes an optimized crystal structure of Li3SnCl. The functional is GGA-PBE.

abc: 5.350 5.350 5.350
angles: 90.00 90.00 90.00
Each line ends with the local moment (μB).
Positions (direct):
Li 0.000 0.000 0.500  0.04
Li 0.500 0.000 0.000  0.01
Li 0.000 0.500 0.000  0.03
Cl 0.500 0.500 0.500  0.12
Sn 0.000 0.000 0.000  0.68

Values from the calculation:
Volume = 30.63 Å³ per atom
Space group = No. 221
Magnetic moment = 2.0 μB per formula unit



--- ii ---
This record from Alexandria describes an optimized crystal structure of Li3SnCl. The functional is GGA-PBE.

abc: 4.660 4.660 4.660
angles: 90.00 90.00 90.00
Positions (direct):
Sn 0.500 0.500 0.500
Li 0.000 0.500 0.000
Li 0.000 0.000 0.500
Li 0.500 0.000 0.000
Cl 0.000 0.000 0.000

Values from the calculation:
Volume = 20.24 Å³ per atom
Space group = No. 221
Magnetic moment = 0.0 μB per formula unit



It is ii that is most stable; the runner-up trails by 0.548 eV/atom.



--- i ---
This record from Alexandria describes an optimized crystal structure of LiSn3Cl. The functional is GGA-PBE.

abc: 5.110 5.110 5.110
angles: 90.00 90.00 90.00
Positions (direct):
Cl 0.500 0.500 0.500
Li 0.000 0.000 0.000
Sn 0.000 0.500 0.000
Sn 0.500 0.000 0.000
Sn 0.000 0.000 0.500

Values from the calculation:
Volume = 26.69 Å³ per atom
Space group = No. 221
Magnetic moment = 0.0 μB per formula unit



--- ii ---
This record from Alexandria describes an optimized crystal structure of LiSn3Cl. The functional is GGA-PBE.

abc: 5.442 5.442 5.442
angles: 90.00 90.00 90.00
Positions (direct):
Sn 0.000 0.000 0.500
Sn 0.000 0.500 0.000
Sn 0.500 0.000 0.000
Li 0.500 0.500 0.500
Cl 0.000 0.000 0.000

Values from the calculation:
Volume = 32.24 Å³ per atom
Space group = No. 221
Magnetic moment = 0.0 μB per formula unit



It is i that is most stable; the runner-up trails by 0.189 eV/atom.



--- i ---
This record from Alexandria describes an optimized crystal structure of LiSn2Cl8. The functional is GGA-PBE.

abc: 7.462 7.889 7.975
angles: 124.81 91.59 87.38
Positions (direct):
Sn 0.811 0.745 0.405
Sn 0.208 0.289 0.605
Cl 0.713 0.850 0.167
Cl 0.923 0.283 0.711
Cl 0.413 0.117 0.685
Cl 0.186 0.126 0.249
Cl 0.125 0.663 0.320
Cl 0.775 0.832 0.767
Cl 0.301 0.620 0.753
Cl 0.689 0.392 0.220
Li 0.857 0.082 0.117

Values from the calculation:
Volume = 35.01 Å³ per atom
Space group = No. 1
Magnetic moment = 0.0 μB per formula unit



--- ii ---
This record from Alexandria describes an optimized crystal structure of LiSn2Cl8. The functional is GGA-PBE.

abc: 6.422 8.108 8.108
angles: 78.23 82.54 82.54
Positions (direct):
Cl 0.683 0.186 0.186
Cl 0.136 0.387 0.387
Cl 0.810 0.728 0.078
Cl 0.190 0.272 0.922
Cl 0.317 0.814 0.814
Cl 0.810 0.078 0.728
Cl 0.190 0.922 0.272
Cl 0.864 0.613 0.613
Li 0.000 0.000 0.000
Sn 0.303 0.204 0.204
Sn 0.697 0.796 0.796

Values from the calculation:
Volume = 37.04 Å³ per atom
Space group = No. 12
Magnetic moment = 0.0 μB per formula unit



It is i that is most stable; the runner-up trails by 0.020 eV/atom.



--- i ---
This record from Alexandria describes an optimized crystal structure of Li2SnCl6. The functional is GGA-PBE.

abc: 6.342 9.937 9.937
angles: 89.63 108.65 108.65
Positions (direct):
Sn 0.750 0.250 0.750
Sn 0.250 0.750 0.250
Cl 0.879 0.246 0.556
Cl 0.705 0.341 0.160
Cl 0.205 0.160 0.341
Cl 0.423 0.055 0.746
Cl 0.621 0.444 0.754
Cl 0.923 0.746 0.055
Cl 0.295 0.659 0.840
Cl 0.077 0.254 0.945
Cl 0.379 0.556 0.246
Cl 0.795 0.840 0.659
Cl 0.577 0.945 0.254
Cl 0.121 0.754 0.444
Li 0.450 0.804 0.695
Li 0.050 0.305 0.196
Li 0.550 0.196 0.305
Li 0.950 0.695 0.804

Values from the calculation:
Volume = 31.06 Å³ per atom
Space group = No. 15
Magnetic moment = 0.1 μB per formula unit



--- ii ---
This record from Alexandria describes an optimized crystal structure of Li2SnCl6. The functional is GGA-PBE.

abc: 6.432 6.170 10.856
angles: 90.00 89.98 90.00
Positions (direct):
Li 0.500 0.999 0.676
Li 0.000 0.501 0.176
Li 0.000 0.499 0.824
Li 0.500 0.001 0.324
Cl 0.669 0.273 0.839
Cl 0.316 0.777 0.500
Cl 0.332 0.725 0.838
Cl 0.668 0.275 0.162
Cl 0.831 0.773 0.661
Cl 0.832 0.775 0.338
Cl 0.184 0.277 0.000
Cl 0.169 0.227 0.339
Cl 0.816 0.723 0.000
Cl 0.168 0.225 0.662
Cl 0.684 0.223 0.500
Cl 0.331 0.727 0.161
Sn 0.500 0.500 0.000
Sn 0.000 0.000 0.500

Values from the calculation:
Volume = 23.93 Å³ per atom
Space group = No. 14
Magnetic moment = 0.0 μB per formula unit



It is ii that is most stable; the runner-up trails by 0.103 eV/atom.



--- i ---
This record from Alexandria describes an optimized crystal structure of SrLiCl. The functional is GGA-PBE.

abc: 4.033 4.033 6.515
angles: 90.00 90.00 120.00
Positions (direct):
Cl 0.000 0.000 0.040
Sr 0.333 0.667 0.703
Li 0.667 0.333 0.256

Values from the calculation:
Volume = 30.59 Å³ per atom
Space group = No. 156
Magnetic moment = 0.0 μB per formula unit



--- ii ---
This record from Alexandria describes an optimized crystal structure of SrLiCl. The functional is GGA-PBE.

abc: 7.698 7.109 4.083
angles: 82.14 66.17 31.70
Positions (direct):
Cl 0.980 0.980 0.020
Li 0.369 0.369 0.631
Sr 0.651 0.651 0.349

Values from the calculation:
Volume = 32.31 Å³ per atom
Space group = No. 42
Magnetic moment = 0.2 μB per formula unit



--- iii ---
This record from Alexandria describes an optimized crystal structure of SrLiCl. The functional is GGA-PBE.

abc: 5.378 5.378 5.378
angles: 60.00 60.00 60.00
Positions (direct):
Li 0.500 0.500 0.500
Sr 0.750 0.750 0.750
Cl 0.000 0.000 0.000

Values from the calculation:
Volume = 36.67 Å³ per atom
Space group = No. 216
Magnetic moment = 0.0 μB per formula unit



It is i that is most stable; the runner-up trails by 0.043 eV/atom.



--- i ---
This record from Alexandria describes an optimized crystal structure of SrLiCl. The functional is GGA-PBE.

abc: 8.062 8.062 8.062
angles: 152.69 152.69 39.01
Positions (direct):
Li 0.688 0.688 0.000
Cl 0.953 0.953 0.000
Sr 0.358 0.358 0.000

Values from the calculation:
Volume = 36.71 Å³ per atom
Space group = No. 107
Magnetic moment = 0.0 μB per formula unit



--- ii ---
This record from Alexandria describes an optimized crystal structure of SrLiCl. The functional is GGA-PBE.

abc: 4.667 4.667 7.820
angles: 90.00 90.00 90.00
Positions (direct):
Sr 0.000 0.500 0.337
Sr 0.500 0.000 0.663
Cl 0.000 0.000 0.000
Cl 0.500 0.500 0.000
Li 0.500 0.000 0.137
Li 0.000 0.500 0.863

Values from the calculation:
Volume = 28.39 Å³ per atom
Space group = No. 129
Magnetic moment = 0.0 μB per formula unit



--- iii ---
This record from Alexandria describes an optimized crystal structure of SrLiCl. The functional is GGA-PBE.

abc: 5.348 5.348 5.348
angles: 60.00 60.00 60.00
Positions (direct):
Cl 0.500 0.500 0.500
Li 0.750 0.750 0.750
Sr 0.000 0.000 0.000

Values from the calculation:
Volume = 36.04 Å³ per atom
Space group = No. 216
Magnetic moment = 0.0 μB per formula unit



--- iv ---
This record from Alexandria describes an optimized crystal structure of SrLiCl. The functional is GGA-PBE.

abc: 5.063 5.063 5.063
angles: 60.00 60.00 60.00
Positions (direct):
Cl 0.750 0.750 0.750
Sr 0.500 0.500 0.500
Li 0.000 0.000 0.000

Values from the calculation:
Volume = 30.58 Å³ per atom
Space group = No. 216
Magnetic moment = 0.0 μB per formula unit



It is ii that is most stable; the runner-up trails by 0.090 eV/atom.



--- i ---
This record from Alexandria describes an optimized crystal structure of LiTaCl. The functional is GGA-PBE.

abc: 7.126 6.776 3.056
angles: 83.80 70.97 25.23
Positions (direct):
Cl 0.993 0.993 0.007
Ta 0.656 0.656 0.344
Li 0.351 0.351 0.649

Values from the calculation:
Volume = 17.56 Å³ per atom
Space group = No. 42
Magnetic moment = 0.0 μB per formula unit



--- ii ---
This record from Alexandria describes an optimized crystal structure of LiTaCl. The functional is GGA-PBE.

abc: 3.058 3.058 6.478
angles: 90.00 90.00 120.00
Each line ends with the local moment (μB).
Positions (direct):
Li 0.667 0.333 0.321  0.02
Ta 0.333 0.667 0.693  0.09
Cl 0.000 0.000 0.986  0.00

Values from the calculation:
Volume = 17.49 Å³ per atom
Space group = No. 156
Magnetic moment = 0.2 μB per formula unit



It is ii that is most stable; the runner-up trails by 0.097 eV/atom.